Material: La12Co5Pt3
Method: DFT, GGA-PBE
State: optimized geometry

Unit cell a=14.418 b=14.418 c=14.418 alpha=109.47 beta=109.47 gamma=109.47
Fractional coordinates of all 80 atoms:
La 0.035 0.213 0.126
La 0.035 0.322 0.908
La 0.086 0.713 0.678
La 0.086 0.874 0.408
La 0.092 0.626 0.414
La 0.092 0.965 0.678
La 0.126 0.035 0.213
La 0.126 0.592 0.914
La 0.178 0.213 0.586
La 0.178 0.465 0.592
La 0.213 0.126 0.035
La 0.213 0.586 0.178
La 0.287 0.322 0.914
La 0.287 0.465 0.374
La 0.322 0.908 0.035
La 0.322 0.914 0.287
La 0.374 0.287 0.465
La 0.374 0.586 0.908
La 0.408 0.086 0.874
La 0.408 0.822 0.535
La 0.414 0.092 0.626
La 0.414 0.822 0.787
La 0.465 0.374 0.287
La 0.465 0.592 0.178
La 0.535 0.408 0.822
La 0.535 0.626 0.713
La 0.586 0.178 0.213
La 0.586 0.908 0.374
La 0.592 0.178 0.465
La 0.592 0.914 0.126
La 0.626 0.414 0.092
La 0.626 0.713 0.535
La 0.678 0.086 0.713
La 0.678 0.092 0.965
La 0.713 0.535 0.626
La 0.713 0.678 0.086
La 0.787 0.414 0.822
La 0.787 0.874 0.965
La 0.822 0.535 0.408
La 0.822 0.787 0.414
La 0.874 0.408 0.086
La 0.874 0.965 0.787
La 0.908 0.035 0.322
La 0.908 0.374 0.586
La 0.914 0.126 0.592
La 0.914 0.287 0.322
La 0.965 0.678 0.092
La 0.965 0.787 0.874
Co 0.000 0.000 0.000
Co 0.000 0.000 0.500
Co 0.000 0.500 0.000
Co 0.000 0.500 0.500
Co 0.125 0.750 0.875
Co 0.125 0.875 0.250
Co 0.250 0.125 0.875
Co 0.250 0.625 0.375
Co 0.375 0.250 0.625
Co 0.375 0.625 0.750
Co 0.500 0.000 0.000
Co 0.500 0.000 0.500
Co 0.500 0.500 0.000
Co 0.500 0.500 0.500
Co 0.625 0.375 0.250
Co 0.625 0.750 0.375
Co 0.750 0.375 0.625
Co 0.750 0.875 0.125
Co 0.875 0.125 0.750
Co 0.875 0.250 0.125
Pt 0.125 0.250 0.375
Pt 0.125 0.375 0.750
Pt 0.250 0.375 0.125
Pt 0.250 0.875 0.625
Pt 0.375 0.125 0.250
Pt 0.375 0.750 0.125
Pt 0.625 0.250 0.875
Pt 0.625 0.875 0.750
Pt 0.750 0.125 0.375
Pt 0.750 0.625 0.875
Pt 0.875 0.625 0.250
Pt 0.875 0.750 0.625

Results
- Final energy: -5.91 eV per atom
- Formation enthalpy at 0 K: -272 meV per atom
- Total magnetization: 0.000 μB per cell
- Density of states at the Fermi level: 79.1 states/eV/cell

***

Material: TaAuSe2
Method: DFT, GGA-PBE
State: optimized geometry

Unit cell a=7.194 b=7.194 c=7.194 alpha=154.95 beta=139.49 gamma=48.23
Fractional coordinates of all 4 atoms:
Ta 0.000 0.000 0.000
Au 0.500 0.500 0.000
Se 0.153 0.653 0.500
Se 0.847 0.347 0.500

Results
- Final energy: -5.77 eV per atom
- Total magnetization: 0.000 μB per cell
- Formation energy (no corrections): -241.7 meV/atom
- Density of states at the Fermi level: 1.4 states/eV/cell
- E above lowest polymorph: 0.1783 eV/atom

***

Material: Zr2CoHgH
Method: DFT, GGA-PBE
State: optimized geometry

Unit cell a=4.496 b=4.496 c=3.850 alpha=90.00 beta=90.00 gamma=90.00
Fractional coordinates of all 5 atoms:
Zr 0.000 0.500 0.000
Zr 0.500 0.000 0.000
Co 0.000 0.000 0.500
Hg 0.500 0.500 0.500
H 0.000 0.000 0.000

Results
- Final energy: -5.74 eV per atom
- Total magnetization: 1.285 μB per cell
- Density of states at the Fermi level: 5.4 states/eV/cell

***

Material: MgZn2Au7
Method: DFT, GGA-PBE
State: optimized geometry

Unit cell a=4.481 b=4.481 c=10.815 alpha=90.00 beta=90.00 gamma=120.00
Fractional coordinates of all 10 atoms:
Mg 0.000 0.000 0.000
Zn 0.333 0.667 0.662
Zn 0.667 0.333 0.334
Au 0.000 0.000 0.259
Au 0.000 0.000 0.710
Au 0.333 0.667 0.412
Au 0.333 0.667 0.942
Au 0.667 0.333 0.098
Au 0.667 0.333 0.570
Au 0.667 0.333 0.833

Results
- Final energy: -2.87 eV per atom
- Formation enthalpy at 0 K: -162 meV per atom
- Total magnetization: 0.000 μB per cell
- Density of states at the Fermi level: 3.5 states/eV/cell